No. 1
Entry from Alexandria: a relaxed Sr5ZrTi4O15 crystal (GGA-PBEsol).

Geometry as POSCAR:
```
Sr5ZrTi4O15
1.0
-1.528 2.654 2.515
-3.339 -3.926 2.115
11.446 -1.297 8.324
Sr Zr Ti O
5 1 4 15
Direct
0.500 0.105 0.210 Sr
0.500 0.299 0.599 Sr
0.500 0.701 0.401 Sr
0.500 0.500 0.000 Sr
0.500 0.895 0.790 Sr
0.000 0.000 0.000 Zr
0.000 0.398 0.795 Ti
0.000 0.799 0.598 Ti
0.000 0.201 0.402 Ti
0.000 0.602 0.205 Ti
0.000 0.399 0.303 O
0.000 0.601 0.697 O
0.000 0.000 0.500 O
0.000 0.792 0.105 O
0.000 0.208 0.895 O
0.500 0.201 0.402 O
0.500 0.396 0.792 O
0.500 0.799 0.598 O
0.500 0.604 0.208 O
0.500 0.000 0.000 O
0.000 0.905 0.303 O
0.000 0.095 0.697 O
0.000 0.500 0.500 O
0.000 0.313 0.105 O
0.000 0.687 0.895 O
```

Summary:
V: 308 Å³/cell
Total moment: 0.0 μB per cell
Energy above the lowest structure with this stoichiometry: 7.0 meV per atom
Uncorrected energy: -8.42 eV per atom

---

No. 2
Entry from Alexandria: a relaxed Sr5ZrTi4O15 crystal (GGA-PBEsol).

Geometry as POSCAR:
```
Sr5ZrTi4O15
1.0
3.960 0.000 0.000
0.000 3.960 0.000
0.000 0.000 19.678
Sr Zr Ti O
5 1 4 15
Direct
0.500 0.500 0.109 Sr
0.500 0.500 0.304 Sr
0.500 0.500 0.500 Sr
0.500 0.500 0.696 Sr
0.500 0.500 0.891 Sr
0.000 0.000 0.000 Zr
0.000 0.000 0.205 Ti
0.000 0.000 0.402 Ti
0.000 0.000 0.598 Ti
0.000 0.000 0.795 Ti
0.000 0.000 0.107 O
0.000 0.000 0.304 O
0.000 0.000 0.500 O
0.000 0.000 0.696 O
0.000 0.000 0.893 O
0.000 0.500 0.000 O
0.000 0.500 0.205 O
0.000 0.500 0.402 O
0.000 0.500 0.598 O
0.000 0.500 0.795 O
0.500 0.000 0.000 O
0.500 0.000 0.205 O
0.500 0.000 0.402 O
0.500 0.000 0.598 O
0.500 0.000 0.795 O
```

Summary:
V: 309 Å³/cell
Total moment: 0.0 μB per cell
Energy above the lowest structure with this stoichiometry: 13.5 meV per atom
Uncorrected energy: -8.41 eV per atom

---

No. 3
Entry from Alexandria: a relaxed Sr4ZrTi3O12 crystal (GGA-PBEsol).

Geometry as POSCAR:
```
Sr4ZrTi3O12
1.0
3.977 0.000 0.000
0.000 5.587 0.000
0.000 0.000 11.180
Sr Zr Ti O
4 1 3 12
Direct
0.500 0.500 0.500 Sr
0.500 0.000 0.739 Sr
0.500 0.500 0.000 Sr
0.500 0.000 0.261 Sr
0.000 0.000 0.000 Zr
0.000 0.500 0.255 Ti
0.000 0.000 0.500 Ti
0.000 0.500 0.745 Ti
0.000 0.247 0.377 O
0.000 0.753 0.623 O
0.000 0.260 0.869 O
0.000 0.740 0.131 O
0.000 0.247 0.623 O
0.000 0.740 0.869 O
0.000 0.260 0.131 O
0.000 0.753 0.377 O
0.500 0.500 0.259 O
0.500 0.000 0.500 O
0.500 0.500 0.741 O
0.500 0.000 0.000 O
```

Summary:
V: 248 Å³/cell
Total moment: 0.0 μB per cell
Energy above the lowest structure with this stoichiometry: 0.0 meV per atom
Uncorrected energy: -8.43 eV per atom

---

No. 4
Entry from Alexandria: a relaxed Sr3ZrTi2O9 crystal (GGA-PBEsol).

Geometry as POSCAR:
```
Sr3ZrTi2O9
1.0
-4.246 3.300 1.640
1.623 -0.707 5.336
8.339 8.191 -4.360
Sr Zr Ti O
6 2 4 18
Direct
0.580 0.079 0.160 Sr
0.921 0.420 0.840 Sr
0.248 0.752 0.500 Sr
0.420 0.921 0.840 Sr
0.752 0.248 0.500 Sr
0.079 0.580 0.160 Sr
0.666 0.666 0.334 Zr
0.334 0.334 0.666 Zr
0.500 0.500 0.000 Ti
0.165 0.165 0.329 Ti
0.835 0.835 0.671 Ti
0.000 0.000 0.000 Ti
0.381 0.381 0.840 O
0.709 0.709 0.506 O
0.044 0.044 0.163 O
0.619 0.619 0.160 O
0.956 0.956 0.837 O
0.291 0.291 0.494 O
0.739 0.739 0.977 O
0.063 0.063 0.640 O
0.392 0.392 0.301 O
0.261 0.261 0.023 O
0.608 0.608 0.699 O
0.937 0.937 0.360 O
0.750 0.250 0.000 O
0.407 0.922 0.331 O
0.078 0.593 0.669 O
0.250 0.750 0.000 O
0.922 0.407 0.331 O
0.593 0.078 0.669 O
```

Summary:
V: 374 Å³/cell
Total moment: 0.0 μB per cell
Uncorrected energy: -8.47 eV per atom

---

No. 5
Entry from Alexandria: a relaxed Sr4Zr3TiO12 crystal (GGA-PBEsol).

Geometry as POSCAR:
```
Sr4Zr3TiO12
1.0
-4.794 -1.533 -2.700
2.545 -4.816 -1.769
-2.539 -3.806 6.683
Sr Zr Ti O
4 3 1 12
Direct
0.504 0.974 0.243 Sr
0.997 0.477 0.242 Sr
0.496 0.026 0.757 Sr
0.003 0.523 0.758 Sr
0.000 0.000 0.500 Zr
0.500 0.500 0.500 Zr
0.000 0.000 0.000 Zr
0.500 0.500 0.000 Ti
0.439 0.510 0.241 O
0.068 0.017 0.249 O
0.561 0.490 0.759 O
0.932 0.983 0.751 O
0.725 0.239 0.031 O
0.797 0.703 0.464 O
0.298 0.797 0.533 O
0.239 0.275 0.967 O
0.275 0.761 0.969 O
0.203 0.297 0.536 O
0.702 0.203 0.467 O
0.761 0.725 0.033 O
```

Summary:
V: 265 Å³/cell
Total moment: 0.0 μB per cell
Uncorrected energy: -8.59 eV per atom

---

No. 6
Entry from Alexandria: a relaxed Sr5ZrTi4O15 crystal (GGA-PBEsol).

Geometry as POSCAR:
```
Sr5ZrTi4O15
1.0
5.574 0.000 0.000
2.787 4.827 0.000
2.787 1.609 11.410
Sr Zr Ti O
5 1 4 15
Direct
0.898 0.898 0.306 Sr
0.102 0.102 0.694 Sr
0.500 0.500 0.500 Sr
0.297 0.297 0.108 Sr
0.703 0.703 0.892 Sr
0.000 0.000 0.000 Zr
0.402 0.402 0.795 Ti
0.800 0.800 0.599 Ti
0.200 0.200 0.401 Ti
0.598 0.598 0.205 Ti
0.900 0.398 0.304 O
0.100 0.602 0.696 O
0.500 0.000 0.500 O
0.307 0.793 0.106 O
0.693 0.207 0.894 O
0.398 0.398 0.304 O
0.602 0.602 0.696 O
0.000 0.000 0.500 O
0.793 0.793 0.106 O
0.207 0.207 0.894 O
0.398 0.900 0.304 O
0.602 0.100 0.696 O
0.000 0.500 0.500 O
0.793 0.307 0.106 O
0.207 0.693 0.894 O
```

Summary:
V: 307 Å³/cell
Total moment: 0.0 μB per cell
Energy above the lowest structure with this stoichiometry: 0.0 meV per atom
Uncorrected energy: -8.43 eV per atom

---

No. 7
Entry from Alexandria: a relaxed Sr4ZrTi3O12 crystal (GGA-PBEsol).

Geometry as POSCAR:
```
Sr4ZrTi3O12
1.0
-3.688 0.633 1.337
1.153 -1.019 3.664
3.679 15.046 3.028
Sr Zr Ti O
4 1 3 12
Direct
0.500 0.500 0.864 Sr
0.500 0.500 0.622 Sr
0.500 0.500 0.378 Sr
0.500 0.500 0.136 Sr
0.000 0.000 0.000 Zr
0.000 0.000 0.745 Ti
0.000 0.000 0.500 Ti
0.000 0.000 0.255 Ti
0.500 0.000 0.000 O
0.500 0.000 0.745 O
0.500 0.000 0.500 O
0.500 0.000 0.255 O
0.000 0.500 0.745 O
0.000 0.500 0.500 O
0.000 0.500 0.255 O
0.000 0.500 0.000 O
0.000 0.000 0.866 O
0.000 0.000 0.622 O
0.000 0.000 0.378 O
0.000 0.000 0.134 O
```

Summary:
V: 249 Å³/cell
Total moment: 0.0 μB per cell
Energy above the lowest structure with this stoichiometry: 7.5 meV per atom
Uncorrected energy: -8.42 eV per atom

---

No. 8
Entry from Alexandria: a relaxed Sr3Tl2O6 crystal (GGA-PBEsol).

Geometry as POSCAR:
```
Sr3Tl2O6
1.0
3.475 0.000 0.000
0.000 11.848 0.000
0.000 0.000 16.898
O Sr Tl
24 12 8
Direct
0.000 0.062 0.846 O
0.000 0.938 0.154 O
0.000 0.438 0.346 O
0.000 0.562 0.654 O
0.000 0.500 0.000 O
0.000 0.000 0.500 O
0.000 0.287 0.567 O
0.000 0.713 0.433 O
0.000 0.213 0.067 O
0.000 0.787 0.933 O
0.500 0.000 0.000 O
0.500 0.500 0.500 O
0.500 0.286 0.905 O
0.500 0.714 0.095 O
0.500 0.214 0.405 O
0.500 0.786 0.595 O
0.500 0.025 0.671 O
0.500 0.975 0.329 O
0.500 0.475 0.171 O
0.500 0.525 0.829 O
0.000 0.315 0.739 O
0.000 0.685 0.261 O
0.000 0.185 0.239 O
0.000 0.815 0.761 O
0.500 0.175 0.774 Sr
0.500 0.825 0.226 Sr
0.500 0.325 0.274 Sr
0.500 0.675 0.726 Sr
0.500 0.134 0.543 Sr
0.500 0.866 0.457 Sr
0.500 0.366 0.043 Sr
0.500 0.634 0.957 Sr
0.500 0.405 0.647 Sr
0.500 0.595 0.353 Sr
0.500 0.095 0.147 Sr
0.500 0.905 0.853 Sr
0.000 0.133 0.958 Tl
0.000 0.867 0.042 Tl
0.000 0.367 0.458 Tl
0.000 0.633 0.542 Tl
0.000 0.092 0.354 Tl
0.000 0.908 0.646 Tl
0.000 0.408 0.854 Tl
0.000 0.592 0.146 Tl
```

Summary:
V: 696 Å³/cell
Total moment: 0.0 μB per cell
Uncorrected energy: -5.72 eV per atom